Entry 1:
# BeVHgN2 | Alexandria | PBE | relaxed
# size of the total moment = 0.000 Bohr magnetons per cell
# calculated total energy = -5.206 eV per atom
# ΔE_f (raw) = 0.754 eV per atom
data_BeVHgN2
_chemical_formula_sum 'Be1 V1 Hg1 N2'
_space_group_name_H-M_alt 'P 4/m m m'
_space_group_IT_number 123
_space_group_name_Hall '-P 4 2'
_cell_length_a 3.6802
_cell_length_b 3.6802
_cell_length_c 5.7730
_cell_angle_alpha 90.00
_cell_angle_beta 90.00
_cell_angle_gamma 90.00
loop_
_atom_site_label
_atom_site_fract_x
_atom_site_fract_y
_atom_site_fract_z
Be1 0.0000 0.0000 0.0000
V1 0.5000 0.5000 0.5000
Hg1 0.5000 0.5000 0.0000
N1 0.0000 0.5000 0.5000

***

Entry 2:
# BaH4Ir | Alexandria | PBE | relaxed
# size of the total moment = 0.000 Bohr magnetons per cell
# calculated total energy = -4.423 eV per atom
data_BaH4Ir
_chemical_formula_sum 'Ba1 H4 Ir1'
_space_group_name_H-M_alt 'P 4/m m m'
_space_group_IT_number 123
_space_group_name_Hall '-P 4 2'
_cell_length_a 3.6828
_cell_length_b 3.6828
_cell_length_c 5.0222
_cell_angle_alpha 90.00
_cell_angle_beta 90.00
_cell_angle_gamma 90.00
loop_
_atom_site_label
_atom_site_fract_x
_atom_site_fract_y
_atom_site_fract_z
Ba1 0.0000 0.0000 0.0000
H1 0.0000 0.5000 0.5000
H2 0.5000 0.5000 0.1680
Ir1 0.5000 0.5000 0.5000

***

Entry 3:
# KSrAlBr6 | Alexandria | PBE | relaxed
# size of the total moment = 0.000 Bohr magnetons per cell
# calculated total energy = -3.398 eV per atom
# ΔE_f (raw) = -1.558 eV per atom
data_KSrAlBr6
_chemical_formula_sum 'K2 Sr2 Al2 Br12'
_space_group_name_H-M_alt 'P -3 1 c'
_space_group_IT_number 163
_space_group_name_Hall '-P 3 2c'
_cell_length_a 7.4429
_cell_length_b 7.4429
_cell_length_c 13.7068
_cell_angle_alpha 90.00
_cell_angle_beta 90.00
_cell_angle_gamma 120.00
loop_
_atom_site_label
_atom_site_fract_x
_atom_site_fract_y
_atom_site_fract_z
K1 0.0000 0.0000 0.0000
Sr1 0.3333 0.6667 0.2500
Al1 0.3333 0.6667 0.7500
Br1 0.0528 0.3946 0.6408